(1)
## Sr3Rh4Pb13 (GGA-PBEsol)

Data for a relaxed structure of Sr3Rh4Pb13.

abc: 10.069 10.069 10.069
angles: 90.00 90.00 90.00
Space group Pm-3n (No. 223)
Unique sites:
Sr 0.000 0.250 0.500 x6
Rh 0.250 0.250 0.250 x8
Pb 0.000 0.000 0.000 x2
Pb 0.000 0.302 0.155 x24

Values from the calculation:
ΔH_f (0 K), eV per atom: -0.305
D(E_F), states/eV/cell: 18.2


(2)
## TaRh2Pb (GGA-PBEsol)

Data for a relaxed structure of TaRh2Pb.

abc: 4.149 4.149 3.859
angles: 90.00 90.00 90.00
Space group P4/mmm (No. 123)
Unique sites:
Ta 0.000 0.000 0.000 x1
Rh 0.000 0.500 0.500 x2
Pb 0.500 0.500 0.000 x1

Values from the calculation:
ΔH_f (0 K), eV per atom: 0.044
D(E_F), states/eV/cell: 4.1


(3)
## Ta2RhPb (GGA-PBEsol)

Data for a relaxed structure of Ta2RhPb.

abc: 10.085 3.057 4.985
angles: 90.00 109.67 90.00
Space group Cm (No. 8)
Unique sites:
Ta 0.000 0.000 0.000 x2
Ta 0.248 0.500 0.262 x2
Rh 0.277 0.000 0.818 x2
Pb 0.027 0.500 0.524 x2

Values from the calculation:
ΔH_f (0 K), eV per atom: 0.182
D(E_F), states/eV/cell: 7.0


(4)
## Ta2RhPb (GGA-PBEsol)

Data for a relaxed structure of Ta2RhPb.

abc: 3.1065 3.1065 27.0983
angles: 90.00 90.00 120.00
Space group R3m (No. 160, hexagonal axes)
Unique sites:
Ta 0.0000 0.0000 0.0000 x3
Ta 0.0000 0.0000 0.2516 x3
Rh 0.0000 0.0000 0.5165 x3
Pb 0.0000 0.0000 0.7610 x3

Values from the calculation:
ΔH_f (0 K), eV per atom: 0.180
D(E_F), states/eV/cell: 10.1


(5)
## Ta2RhPb (GGA-PBEsol)

Data for a relaxed structure of Ta2RhPb.

abc: 5.678 8.399 2.966
angles: 90.00 90.28 90.00
Space group C2/m (No. 12)
Unique sites:
Ta 0.250 0.250 0.000 x4
Rh 0.000 0.000 0.500 x2
Pb 0.000 0.500 0.500 x2

Values from the calculation:
ΔH_f (0 K), eV per atom: 0.221
D(E_F), states/eV/cell: 6.5


(6)
## TaRhPb2 (GGA-PBEsol)

Data for a relaxed structure of TaRhPb2.

abc: 3.158 3.158 7.821
angles: 90.00 90.00 90.00
Space group P4/mmm (No. 123)
Unique sites:
Ta 0.000 0.000 0.000 x1
Rh 0.000 0.000 0.500 x1
Pb 0.500 0.500 0.273 x2

Values from the calculation:
ΔH_f (0 K), eV per atom: 0.441
D(E_F), states/eV/cell: 3.8


(7)
## TcRh2Pb (GGA-PBEsol)

Data for a relaxed structure of TcRh2Pb.

abc: 8.995 2.889 4.949
angles: 90.00 100.33 90.00
Space group Cm (No. 8)
Unique sites:
Tc 0.000 0.000 0.000 x2
Rh 0.239 0.500 0.176 x2
Rh 0.488 0.000 0.437 x2
Pb 0.243 0.000 0.683 x2

Values from the calculation:
ΔH_f (0 K), eV per atom: 0.229
D(E_F), states/eV/cell: 6.4


(8)
## Tc2RhPb (GGA-PBEsol)

Data for a relaxed structure of Tc2RhPb.

abc: 3.876 4.189 7.769
angles: 90.00 90.00 90.00
Space group Imm2 (No. 44)
Unique sites:
Tc 0.000 0.000 0.000 x2
Tc 0.000 0.500 0.280 x2
Rh 0.000 0.000 0.517 x2
Pb 0.000 0.500 0.760 x2

Values from the calculation:
ΔH_f (0 K), eV per atom: 0.411
D(E_F), states/eV/cell: 10.9


(9)
## TcRh2Pb (GGA-PBEsol)

Data for a relaxed structure of TcRh2Pb.

abc: 5.636 7.714 2.871
angles: 90.00 90.00 90.00
Space group Cmmm (No. 65)
Unique sites:
Tc 0.000 0.000 0.000 x2
Rh 0.250 0.250 0.500 x4
Pb 0.000 0.500 0.000 x2

Values from the calculation:
ΔH_f (0 K), eV per atom: 0.298
D(E_F), states/eV/cell: 7.8


(10)
## TeRhPb3 (GGA-PBEsol)

Data for a relaxed structure of TeRhPb3.

abc: 5.230 5.230 5.230
angles: 90.00 90.00 90.00
Space group Pm-3m (No. 221)
Unique sites:
Te 0.000 0.000 0.000 x1
Rh 0.500 0.500 0.500 x1
Pb 0.000 0.500 0.500 x3

Values from the calculation:
Energy relative to the elements, uncorrected, eV/atom: -0.055
D(E_F), states/eV/cell: 2.3


(11)
## Ti3RhPb (GGA-PBEsol)

Data for a relaxed structure of Ti3RhPb.

abc: 4.676 4.676 4.676
angles: 90.00 90.00 90.00
Space group Pm-3m (No. 221)
Unique sites:
Ti 0.000 0.000 0.500 x3
Rh 0.000 0.000 0.000 x1
Pb 0.500 0.500 0.500 x1

Values from the calculation:
ΔH_f (0 K), eV per atom: 0.168
D(E_F), states/eV/cell: 5.8


(12)
## TlRh2Pb (GGA-PBEsol)

Data for a relaxed structure of TlRh2Pb.

abc: 3.230 4.387 10.374
angles: 90.00 90.00 90.00
Space group Imm2 (No. 44)
Unique sites:
Tl 0.000 0.000 0.000 x2
Rh 0.000 0.000 0.507 x2
Rh 0.000 0.500 0.754 x2
Pb 0.000 0.500 0.231 x2

Values from the calculation:
ΔH_f (0 K), eV per atom: 0.186
D(E_F), states/eV/cell: 3.5


(13)
## TlRhPb2 (GGA-PBEsol)

Data for a relaxed structure of TlRhPb2.

abc: 4.830 4.830 3.950
angles: 90.00 90.00 90.00
Space group P4/mmm (No. 123)
Unique sites:
Tl 0.000 0.000 0.000 x1
Rh 0.500 0.500 0.000 x1
Pb 0.000 0.500 0.500 x2

Values from the calculation:
ΔH_f (0 K), eV per atom: 0.314
D(E_F), states/eV/cell: 2.3


(14)
## TlRhPb3 (GGA-PBEsol)

Data for a relaxed structure of TlRhPb3.

abc: 5.242 5.242 5.242
angles: 90.00 90.00 90.00
Space group Pm-3m (No. 221)
Unique sites:
Tl 0.000 0.000 0.000 x1
Rh 0.500 0.500 0.500 x1
Pb 0.000 0.500 0.500 x3

Values from the calculation:
ΔH_f (0 K), eV per atom: 0.122
D(E_F), states/eV/cell: 2.3


(15)
## TlRhPb2 (GGA-PBEsol)

Data for a relaxed structure of TlRhPb2.

abc: 3.221 4.588 13.072
angles: 90.00 90.00 90.00
Space group Immm (No. 71)
Unique sites:
Tl 0.000 0.000 0.000 x2
Rh 0.000 0.000 0.500 x2
Pb 0.000 0.500 0.183 x4

Values from the calculation:
ΔH_f (0 K), eV per atom: 0.043
D(E_F), states/eV/cell: 3.7


(16)
## TlRhPb2 (GGA-PBEsol)

Data for a relaxed structure of TlRhPb2.

abc: 3.329 3.329 8.519
angles: 90.00 90.00 90.00
Space group P4/mmm (No. 123)
Unique sites:
Tl 0.000 0.000 0.000 x1
Rh 0.000 0.000 0.500 x1
Pb 0.500 0.500 0.305 x2

Values from the calculation:
ΔH_f (0 K), eV per atom: 0.011
D(E_F), states/eV/cell: 3.2


(17)
## TlRh2Pb (GGA-PBEsol)

Data for a relaxed structure of TlRh2Pb.

abc: 10.191 3.209 4.533
angles: 90.00 100.87 90.00
Space group Cm (No. 8)
Unique sites:
Tl 0.000 0.000 0.000 x2
Rh 0.265 0.000 0.936 x2
Rh 0.482 0.000 0.497 x2
Pb 0.248 0.500 0.432 x2

Values from the calculation:
ΔH_f (0 K), eV per atom: 0.094
D(E_F), states/eV/cell: 2.8


(18)
## TlRh2Pb (GGA-PBEsol)

Data for a relaxed structure of TlRh2Pb.

abc: 3.648 3.648 5.642
angles: 90.00 90.00 90.00
Space group P4mm (No. 99)
Unique sites:
Tl 0.000 0.000 0.000 x1
Rh 0.000 0.000 0.520 x1
Rh 0.500 0.500 0.847 x1
Pb 0.500 0.500 0.359 x1

Values from the calculation:
ΔH_f (0 K), eV per atom: 0.229
D(E_F), states/eV/cell: 3.5


(19)
## TlRh2Pb (GGA-PBEsol)

Data for a relaxed structure of TlRh2Pb.

abc: 8.124 3.311 5.710
angles: 90.00 103.65 90.00
Space group C2/m (No. 12)
Unique sites:
Tl 0.000 0.000 0.000 x2
Rh 0.250 0.000 0.745 x4
Pb 0.000 0.500 0.500 x2

Values from the calculation:
ΔH_f (0 K), eV per atom: 0.158
D(E_F), states/eV/cell: 3.6


(20)
## RhPbW2 (GGA-PBEsol)

Data for a relaxed structure of RhPbW2.

abc: 2.9348 2.9348 27.7778
angles: 90.00 90.00 120.00
Space group R3m (No. 160, hexagonal axes)
Unique sites:
Rh 0.0000 0.0000 0.0000 x3
Pb 0.0000 0.0000 0.7549 x3
W 0.0000 0.0000 0.2623 x3
W 0.0000 0.0000 0.5133 x3

Values from the calculation:
ΔH_f (0 K), eV per atom: 0.545
D(E_F), states/eV/cell: 10.2


no.,final energy (eV per atom)
1,-4.8083
2,-8.1623
3,-9.1282
4,-9.1298
5,-9.0890
6,-6.7306
7,-7.6564
8,-8.2563
9,-7.5877
10,-4.7875
11,-7.2532
12,-5.5407
13,-4.3776
14,-4.4312
15,-4.6481
16,-4.6809
17,-5.6326
18,-5.4974
19,-5.5684
20,-9.3929